No. 1
# GGA-PBEsol La2GaCoO6, relaxed
# * M_tot: 0.0 μB per formula unit
# * ΔE_f (raw): -2.51 eV/atom
# * volume: 11.2 Å³ per atom
# * space-group type: No. 148
data_La2GaCoO6
_chemical_formula_sum 'La2 Ga1 Co1 O6'
_symmetry_space_group_name_H-M 'P 1'
_symmetry_Int_Tables_number 1
_symmetry_space_group_name_Hall 'P 1'
_cell_length_a 5.362
_cell_length_b 5.362
_cell_length_c 5.362
_cell_angle_alpha 61.12
_cell_angle_beta 61.12
_cell_angle_gamma 61.12
loop_
_atom_site_label
_atom_site_type_symbol
_atom_site_fract_x
_atom_site_fract_y
_atom_site_fract_z
La1 La 0.249 0.249 0.249
La2 La 0.751 0.751 0.751
Ga1 Ga 0.500 0.500 0.500
Co1 Co 0.000 0.000 0.000
O1 O 0.189 0.304 0.755
O2 O 0.245 0.811 0.696
O3 O 0.304 0.755 0.189
O4 O 0.696 0.245 0.811
O5 O 0.755 0.189 0.304
O6 O 0.811 0.696 0.245

***

No. 2
# GGA-PBEsol K4Ag18Te11, relaxed
# * M_tot: 0.0 μB per formula unit
# * ΔE_f (raw): -0.27 eV/atom
# * volume: 23.8 Å³ per atom
# * DOS(E_F): 15.87 states/eV/cell
# * space-group type: No. 225
data_K4Ag18Te11
_chemical_formula_sum 'K8 Ag36 Te22'
_symmetry_space_group_name_H-M 'P 1'
_symmetry_Int_Tables_number 1
_symmetry_space_group_name_Hall 'P 1'
_cell_length_a 13.057
_cell_length_b 13.057
_cell_length_c 13.057
_cell_angle_alpha 60.00
_cell_angle_beta 60.00
_cell_angle_gamma 60.00
loop_
_atom_site_label
_atom_site_type_symbol
_atom_site_fract_x
_atom_site_fract_y
_atom_site_fract_z
K1 K 0.000 0.000 0.000
K2 K 0.233 0.233 0.767
K3 K 0.233 0.767 0.233
K4 K 0.233 0.767 0.767
K5 K 0.500 0.500 0.500
K6 K 0.767 0.233 0.233
K7 K 0.767 0.233 0.767
K8 K 0.767 0.767 0.233
Ag1 Ag 0.000 0.000 0.387
Ag2 Ag 0.000 0.000 0.613
Ag3 Ag 0.000 0.387 0.000
Ag4 Ag 0.000 0.387 0.613
Ag5 Ag 0.000 0.613 0.000
Ag6 Ag 0.000 0.613 0.387
Ag7 Ag 0.008 0.257 0.257
Ag8 Ag 0.008 0.257 0.477
Ag9 Ag 0.008 0.477 0.257
Ag10 Ag 0.257 0.008 0.257
Ag11 Ag 0.257 0.008 0.477
Ag12 Ag 0.257 0.257 0.008
Ag13 Ag 0.257 0.257 0.477
Ag14 Ag 0.257 0.477 0.008
Ag15 Ag 0.257 0.477 0.257
Ag16 Ag 0.387 0.000 0.000
Ag17 Ag 0.387 0.000 0.613
Ag18 Ag 0.387 0.613 0.000
Ag19 Ag 0.477 0.008 0.257
Ag20 Ag 0.477 0.257 0.008
Ag21 Ag 0.477 0.257 0.257
Ag22 Ag 0.523 0.743 0.743
Ag23 Ag 0.523 0.743 0.992
Ag24 Ag 0.523 0.992 0.743
Ag25 Ag 0.613 0.000 0.000
Ag26 Ag 0.613 0.000 0.387
Ag27 Ag 0.613 0.387 0.000
Ag28 Ag 0.743 0.523 0.743
Ag29 Ag 0.743 0.523 0.992
Ag30 Ag 0.743 0.743 0.523
Ag31 Ag 0.743 0.743 0.992
Ag32 Ag 0.743 0.992 0.523
Ag33 Ag 0.743 0.992 0.743
Ag34 Ag 0.992 0.523 0.743
Ag35 Ag 0.992 0.743 0.523
Ag36 Ag 0.992 0.743 0.743
Te1 Te 0.109 0.109 0.109
Te2 Te 0.109 0.109 0.673
Te3 Te 0.109 0.673 0.109
Te4 Te 0.186 0.500 0.500
Te5 Te 0.186 0.500 0.814
Te6 Te 0.186 0.814 0.500
Te7 Te 0.250 0.250 0.250
Te8 Te 0.327 0.891 0.891
Te9 Te 0.500 0.186 0.500
Te10 Te 0.500 0.186 0.814
Te11 Te 0.500 0.500 0.186
Te12 Te 0.500 0.500 0.814
Te13 Te 0.500 0.814 0.186
Te14 Te 0.500 0.814 0.500
Te15 Te 0.673 0.109 0.109
Te16 Te 0.750 0.750 0.750
Te17 Te 0.814 0.186 0.500
Te18 Te 0.814 0.500 0.186
Te19 Te 0.814 0.500 0.500
Te20 Te 0.891 0.327 0.891
Te21 Te 0.891 0.891 0.327
Te22 Te 0.891 0.891 0.891

***

No. 3
# GGA-PBEsol TaTl2Si, relaxed
# * M_tot: 0.0 μB per formula unit
# * E above lowest polymorph: 95 meV/atom
# * ΔE_f (raw): 0.59 eV/atom
# * volume: 20.3 Å³ per atom
# * DOS(E_F): 2.40 states/eV/cell
# * space-group type: No. 12
data_TaTl2Si
_chemical_formula_sum 'Ta1 Tl2 Si1'
_symmetry_space_group_name_H-M 'P 1'
_symmetry_Int_Tables_number 1
_symmetry_space_group_name_Hall 'P 1'
_cell_length_a 6.035
_cell_length_b 6.035
_cell_length_c 3.067
_cell_angle_alpha 103.37
_cell_angle_beta 103.37
_cell_angle_gamma 123.56
loop_
_atom_site_label
_atom_site_type_symbol
_atom_site_fract_x
_atom_site_fract_y
_atom_site_fract_z
Ta1 Ta 0.000 0.000 0.000
Tl1 Tl 0.000 0.500 0.000
Tl2 Tl 0.500 0.000 0.000
Si1 Si 0.500 0.500 0.000

***

No. 4
# GGA-PBEsol As3P, relaxed
# * M_tot: 0.0 μB per formula unit
# * E above lowest polymorph: 460 meV/atom
# * energy of formation from the pure elements: 48.6 kJ per mole of atoms
# * volume: 18.2 Å³ per atom
# * DOS(E_F): 2.14 states/eV/cell
# * space-group type: No. 139
data_As3P
_chemical_formula_sum 'As3 P1'
_symmetry_space_group_name_H-M 'P 1'
_symmetry_Int_Tables_number 1
_symmetry_space_group_name_Hall 'P 1'
_cell_length_a 5.927
_cell_length_b 5.927
_cell_length_c 5.927
_cell_angle_alpha 143.64
_cell_angle_beta 143.64
_cell_angle_gamma 52.37
loop_
_atom_site_label
_atom_site_type_symbol
_atom_site_fract_x
_atom_site_fract_y
_atom_site_fract_z
As1 As 0.000 0.000 0.000
As2 As 0.250 0.750 0.500
As3 As 0.750 0.250 0.500
P1 P 0.500 0.500 0.000

***

No. 5
# GGA-PBEsol CaLaY, relaxed
# * M_tot: 0.0 μB per formula unit
# * E above lowest polymorph: 10 meV/atom
# * energy of formation from the pure elements: 5.9 kJ per mole of atoms
# * volume: 34.9 Å³ per atom
# * DOS(E_F): 4.53 states/eV/cell
# * space-group type: No. 107
data_CaLaY
_chemical_formula_sum 'Ca1 La1 Y1'
_symmetry_space_group_name_H-M 'P 1'
_symmetry_Int_Tables_number 1
_symmetry_space_group_name_Hall 'P 1'
_cell_length_a 8.234
_cell_length_b 8.234
_cell_length_c 8.234
_cell_angle_alpha 154.33
_cell_angle_beta 154.33
_cell_angle_gamma 36.62
loop_
_atom_site_label
_atom_site_type_symbol
_atom_site_fract_x
_atom_site_fract_y
_atom_site_fract_z
Ca1 Ca 0.000 0.000 0.000
La1 La 0.679 0.679 0.000
Y1 Y 0.329 0.329 0.000

***

No. 6
# GGA-PBEsol TaIn2Sb, relaxed
# * M_tot: 0.0 μB per formula unit
# * ΔE_f (raw): 0.26 eV/atom
# * volume: 21.8 Å³ per atom
# * DOS(E_F): 1.97 states/eV/cell
# * space-group type: No. 65
data_TaIn2Sb
_chemical_formula_sum 'Ta1 In2 Sb1'
_symmetry_space_group_name_H-M 'P 1'
_symmetry_Int_Tables_number 1
_symmetry_space_group_name_Hall 'P 1'
_cell_length_a 3.084
_cell_length_b 3.084
_cell_length_c 9.351
_cell_angle_alpha 90.00
_cell_angle_beta 90.00
_cell_angle_gamma 101.06
loop_
_atom_site_label
_atom_site_type_symbol
_atom_site_fract_x
_atom_site_fract_y
_atom_site_fract_z
Ta1 Ta 0.000 0.000 0.000
In1 In 0.500 0.500 0.226
In2 In 0.500 0.500 0.774
Sb1 Sb 0.000 0.000 0.500